(1)
First-principles (GGA-PBEsol) data for a relaxed AgIO4 crystal, as listed in Alexandria.

Cell: 5.2825 5.2825 6.9125 Å, 112.46 112.46 90.00°
Last column: nearest neighbours and their distance in Å.
Element x y z (fractional)
O 0.4947 0.5900 0.6666  1 I 1.82
O 0.1719 0.0766 0.6666  1 I 1.82
O 0.8400 0.9219 0.1666  1 I 1.82
O 0.7553 0.1600 0.8334  1 I 1.82
O 0.9234 0.5053 0.3334  1 I 1.82
O 0.3266 0.2447 0.1666  1 I 1.82
O 0.4100 0.8281 0.3334  1 I 1.82
O 0.0781 0.6734 0.8334  1 I 1.82
Ag 0.7500 0.2500 0.5000  8 O 2.44-2.52
Ag 0.5000 0.5000 0.0000  8 O 2.44-2.52
I 0.0000 0.0000 0.0000  4 O 1.82
I 0.2500 0.7500 0.5000  4 O 1.82

Output
Its uncorrected formation energy is -0.069 eV/atom. The symmetry is I4_1/a (88).

=====

(2)
First-principles (GGA-PBEsol) data for a relaxed NbV3Fe2P6O24 crystal, as listed in Alexandria.

Cell: 8.3930 8.3930 8.3930 Å, 61.95 61.95 61.95°
Last column: nearest neighbours and their distance in Å.
Element x y z (fractional)
O 0.8160 0.6205 0.9992  1 P 1.52
O 0.1181 0.3163 0.5025  1 P 1.51
O 0.9427 0.0906 0.7449  1 P 1.55
O 0.4490 0.2391 0.5862  1 P 1.55
O 0.4054 0.5573 0.7601  1 P 1.55
O 0.3163 0.5025 0.1181  1 P 1.51
O 0.2391 0.5862 0.4490  1 P 1.55
O 0.6753 0.5050 0.8806  1 P 1.52
O 0.1762 0.3885 0.0017  1 P 1.55
O 0.7449 0.9427 0.0906  1 P 1.55
O 0.8990 0.2666 0.0571  1 P 1.58
O 0.6205 0.9992 0.8160  1 P 1.52
O 0.5025 0.1181 0.3163  1 P 1.51
O 0.5862 0.4490 0.2391  1 P 1.55
O 0.5050 0.8806 0.6753  1 P 1.52
O 0.0571 0.8990 0.2666  1 P 1.58
O 0.5573 0.7601 0.4054  1 P 1.55
O 0.7601 0.4054 0.5573  1 P 1.55
O 0.8806 0.6753 0.5050  1 P 1.52
O 0.0906 0.7449 0.9427  1 P 1.55
O 0.0017 0.1762 0.3885  1 P 1.55
O 0.3885 0.0017 0.1762  1 P 1.55
O 0.9992 0.8160 0.6205  1 P 1.52
O 0.2666 0.0571 0.8990  1 P 1.58
Fe 0.0028 0.0028 0.0028  6 O 2.15-2.16
Fe 0.5008 0.5008 0.5008  6 O 2.14-2.16
P 0.5488 0.9580 0.2490  4 O 1.51-1.55
P 0.4690 0.0391 0.7395  4 O 1.52-1.58
P 0.9580 0.2490 0.5488  4 O 1.51-1.55
P 0.0391 0.7395 0.4690  4 O 1.52-1.58
P 0.7395 0.4690 0.0391  4 O 1.52-1.58
P 0.2490 0.5488 0.9580  4 O 1.51-1.55
Nb 0.1377 0.1377 0.1377  6 O 1.97-2.05
V 0.8599 0.8599 0.8599  6 O 1.90-2.01
V 0.6378 0.6378 0.6378  6 O 1.91-2.01
V 0.3599 0.3599 0.3599  6 O 1.92-2.00

Output
Its uncorrected formation energy is -2.113 eV/atom. The symmetry is R3 (146).

=====

(3)
First-principles (GGA-PBEsol) data for a relaxed Tl3PtCl crystal, as listed in Alexandria.

Cell: 5.2477 5.2477 5.2477 Å, 90.00 90.00 90.00°
Last column: nearest neighbours and their distance in Å.
Element x y z (fractional)
Cl 0.5000 0.5000 0.5000  12 Tl 3.71
Pt 0.0000 0.0000 0.0000  6 Tl 2.62
Tl 0.5000 0.0000 0.0000  2 Pt 2.62
Tl 0.0000 0.5000 0.0000  2 Pt 2.62
Tl 0.0000 0.0000 0.5000  2 Pt 2.62

Output
Its uncorrected formation energy is -0.373 eV/atom. The symmetry is Pm-3m (221).

=====

(4)
First-principles (GGA-PBEsol) data for a relaxed InFe2Rh crystal, as listed in Alexandria.

Cell: 4.2746 4.2746 4.2746 Å, 60.00 60.00 60.00°
Last column: nearest neighbours and their distance in Å.
Element x y z (fractional)
Fe 0.7500 0.7500 0.7500  4 In 2.62, 4 Fe 2.62
Fe 0.0000 0.0000 0.0000  4 Rh 2.62, 4 Fe 2.62
In 0.5000 0.5000 0.5000  4 Fe 2.62, 4 Rh 2.62
Rh 0.2500 0.2500 0.2500  4 In 2.62, 4 Fe 2.62

Output
As for the formation energy from the elements: 0.03 eV per atom. The symmetry is F-43m (216).

=====

no.,uncorrected energy (eV per atom)
1,-4.415
2,-8.179
3,-3.745
4,-7.233